Entry from Alexandria via LeMat-Bulk: a relaxed structure of Dy2NpNiS5 (PBE).

Computed properties:
Formation energy (no corrections), eV/atom: -1.53
Space group: Cmc2_1
D(E_F), states/eV/atom: 1.206

Cell and atoms, written as extended XYZ:
```
18
Lattice="1.874 -8.231 0.000 1.874 8.231 0.000 0.000 0.000 11.640" Properties=species:S:1:pos:R:3 pbc="T T T"
Dy 1.874 6.485 5.820
Dy 1.874 6.323 9.803
Dy 1.874 -6.323 3.983
Dy 1.874 -6.485 0.000
Np 1.874 5.341 2.065
Np 1.874 -5.341 7.885
Ni 1.874 0.827 6.625
Ni 1.874 -0.827 0.805
S 1.874 7.984 1.891
S 1.874 3.238 9.854
S 1.874 2.955 5.903
S 1.874 2.590 1.960
S 1.874 0.074 10.414
S 1.874 -0.074 4.594
S 1.874 -2.590 7.780
S 1.874 -2.955 0.083
S 1.874 -3.238 4.034
S 1.874 -7.984 7.712
```